V2CrNiH | GGA-PBE | relaxed

```
V2CrNiH
1.0
3.973 0.000 0.000
0.000 3.973 0.000
0.000 0.000 3.250
V Cr Ni H
2 1 1 1
Direct
0.000 0.500 0.000 V
0.500 0.000 0.000 V
0.000 0.000 0.500 Cr
0.500 0.500 0.500 Ni
0.500 0.500 0.000 H
```

Results
- space group = No. 123
- polymorph energy (0 for the lowest one) (eV per atom) = 0.000
- calculated total energy (eV/atom) = -7.45

---

BaSrHfO4 | GGA-PBE | relaxed

```
BaSrHfO4
1.0
-2.078 2.078 6.620
2.078 -2.078 6.620
2.078 2.078 -6.620
Ba Sr Hf O
1 1 1 4
Direct
0.000 0.000 0.000 Ba
0.705 0.705 0.000 Sr
0.349 0.349 0.000 Hf
0.193 0.193 0.000 O
0.346 0.846 0.500 O
0.512 0.512 0.000 O
0.846 0.346 0.500 O
```

Results
- uncorrected formation energy (meV/atom) = -3150
- space group = No. 107
- calculated total energy (eV/atom) = -7.92

---

UGaReTc | GGA-PBE | relaxed

```
UGaReTc
1.0
0.000 3.246 3.246
3.246 0.000 3.246
3.246 3.246 0.000
U Ga Re Tc
1 1 1 1
Direct
0.000 0.000 0.000 U
0.500 0.500 0.500 Ga
0.250 0.250 0.250 Re
0.750 0.750 0.750 Tc
```

Results
- space group = No. 216
- calculated total energy (eV/atom) = -9.24
- energy of formation (eV per atom) = 0.038

---

SmY2Tm6 | GGA-PBE | relaxed

```
SmY2Tm6
1.0
3.573 0.000 0.000
-1.787 3.095 0.000
0.000 0.000 25.747
Sm Y Tm
1 2 6
Direct
0.000 0.000 0.000 Sm
0.333 0.667 0.327 Y
0.333 0.667 0.673 Y
0.000 0.000 0.218 Tm
0.000 0.000 0.435 Tm
0.000 0.000 0.565 Tm
0.000 0.000 0.782 Tm
0.333 0.667 0.111 Tm
0.333 0.667 0.889 Tm
```

Results
- space group = No. 187
- polymorph energy (0 for the lowest one) (eV per atom) = 0.024
- calculated total energy (eV/atom) = -4.89
- energy of formation (eV per atom) = 0.052

---

Er4Tm8Mg | GGA-PBE | relaxed

```
Er4Tm8Mg
1.0
3.509 2.026 9.414
-3.509 2.026 9.414
0.000 -4.052 9.414
Er Tm Mg
4 8 1
Direct
0.000 0.000 0.000 Er
0.000 0.500 0.500 Er
0.500 0.000 0.500 Er
0.500 0.500 0.000 Er
0.211 0.211 0.211 Tm
0.219 0.746 0.746 Tm
0.254 0.254 0.781 Tm
0.254 0.781 0.254 Tm
0.746 0.219 0.746 Tm
0.746 0.746 0.219 Tm
0.781 0.254 0.254 Tm
0.789 0.789 0.789 Tm
0.500 0.500 0.500 Mg
```

Results
- space group = No. 166
- calculated total energy (eV/atom) = -4.07
- energy of formation (eV per atom) = 0.209

---

CaIrRh | GGA-PBE | relaxed

```
CaIrRh
1.0
4.107 -2.791 0.000
4.107 2.791 0.000
-1.156 0.000 4.891
Ca Ir Rh
2 2 2
Direct
0.137 0.137 0.379 Ca
0.863 0.863 0.621 Ca
0.487 0.487 0.739 Ir
0.513 0.513 0.261 Ir
0.000 0.500 0.000 Rh
0.500 0.000 0.000 Rh
```

Results
- space group = No. 12
- polymorph energy (0 for the lowest one) (eV per atom) = 0.334
- calculated total energy (eV/atom) = -6.19
- energy of formation (eV per atom) = -0.114

---

HfSb2SCl | GGA-PBE | relaxed

```
HfSb2SCl
1.0
5.094 0.000 0.000
0.000 5.094 0.000
0.000 0.000 4.832
Hf Sb S Cl
1 2 1 1
Direct
0.000 0.000 0.000 Hf
0.000 0.500 0.500 Sb
0.500 0.000 0.500 Sb
0.500 0.500 0.000 S
0.500 0.500 0.500 Cl
```

Results
- uncorrected formation energy (meV/atom) = 773
- space group = No. 123
- calculated total energy (eV/atom) = -4.06

---

ZnAgPO4 | GGA-PBE | relaxed

```
ZnAgPO4
1.0
5.101 0.000 0.000
-0.015 8.468 0.000
-0.071 -0.003 9.098
Zn Ag P O
4 4 4 16
Direct
0.000 0.000 0.000 Zn
0.068 0.500 0.652 Zn
0.472 0.511 0.153 Zn
0.596 0.011 0.498 Zn
0.091 0.824 0.331 Ag
0.481 0.813 0.825 Ag
0.586 0.311 0.826 Ag
0.977 0.326 0.320 Ag
0.103 0.113 0.667 P
0.499 0.128 0.164 P
0.569 0.627 0.488 P
0.965 0.614 0.984 P
0.185 0.027 0.811 O
0.215 0.285 0.674 O
0.220 0.026 0.532 O
0.268 0.619 0.001 O
0.286 0.996 0.150 O
0.352 0.289 0.171 O
0.384 0.631 0.623 O
0.393 0.598 0.349 O
0.673 0.101 0.302 O
0.684 0.130 0.028 O
0.715 0.789 0.478 O
0.782 0.496 0.502 O
0.800 0.118 0.651 O
0.848 0.528 0.120 O
0.854 0.785 0.975 O
0.885 0.525 0.841 O
```

Results
- uncorrected formation energy (meV/atom) = -1606
- space group = No. 1
- polymorph energy (0 for the lowest one) (eV per atom) = 0.019
- calculated total energy (eV/atom) = -5.80

---

Pd3Pb2S2 | GGA-PBE | relaxed

```
Pd3Pb2S2
1.0
3.039 1.755 4.664
-3.039 1.755 4.664
0.000 -3.509 4.664
Pd Pb S
3 2 2
Direct
0.000 0.500 0.500 Pd
0.500 0.000 0.500 Pd
0.500 0.500 0.000 Pd
0.000 0.000 0.000 Pb
0.500 0.500 0.500 Pb
0.220 0.220 0.220 S
0.780 0.780 0.780 S
```

Results
- uncorrected formation energy (meV/atom) = -411
- space group = No. 166
- polymorph energy (0 for the lowest one) (eV per atom) = 0.006
- calculated total energy (eV/atom) = -4.88

---

PmMgAl2 | GGA-PBE | relaxed

```
PmMgAl2
1.0
3.496 0.000 0.000
0.000 3.496 0.000
0.000 0.000 7.249
Pm Mg Al
1 1 2
Direct
0.000 0.000 0.000 Pm
0.000 0.000 0.500 Mg
0.500 0.500 0.289 Al
0.500 0.500 0.711 Al
```

Results
- space group = No. 123
- polymorph energy (0 for the lowest one) (eV per atom) = 0.124
- calculated total energy (eV/atom) = -3.64
- energy of formation (eV per atom) = -0.187

---

Sr2TaTlHg | GGA-PBE | relaxed

```
Sr2TaTlHg
1.0
6.150 0.000 0.000
0.000 6.150 0.000
0.000 0.000 5.185
Sr Ta Tl Hg
2 1 1 1
Direct
0.000 0.500 0.000 Sr
0.500 0.000 0.000 Sr
0.000 0.000 0.500 Ta
0.500 0.500 0.500 Tl
0.000 0.000 0.000 Hg
```

Results
- space group = No. 123
- calculated total energy (eV/atom) = -2.89
- energy of formation (eV per atom) = 0.688

---

SrMg2Ag | GGA-PBE | relaxed

```
SrMg2Ag
1.0
4.461 0.000 0.000
0.000 4.461 0.000
0.000 0.000 11.253
Sr Mg Ag
2 4 2
Direct
0.250 0.250 0.239 Sr
0.750 0.750 0.761 Sr
0.250 0.250 0.927 Mg
0.250 0.750 0.500 Mg
0.750 0.250 0.500 Mg
0.750 0.750 0.073 Mg
0.250 0.250 0.663 Ag
0.750 0.750 0.337 Ag
```

Results
- space group = No. 129
- calculated total energy (eV/atom) = -2.09
- energy of formation (eV per atom) = -0.160